DyTm2Ni9 | GGA-PBE | relaxed

**Total energy**: -70.87 eV/cell
**ΔH_f (0 K)**: -5.29 eV per formula unit
**Fermi-level density of states**: 15.30 states/eV/cell
**Symmetry**: R-3m (166)

Lattice parameters (Å, degrees): 4.944 4.944 8.545 73.18 73.18 60.00
Last column: magnetic moment on the atom in μB.
Fractional positions:
Dy 0.000 0.000 0.000  -0.04
Tm 0.861 0.861 0.418  -0.04
Tm 0.139 0.139 0.582  -0.04
Ni 0.667 0.667 0.000  0.18
Ni 0.333 0.333 0.000  0.18
Ni 0.500 0.500 0.500  0.09
Ni 0.416 0.416 0.248  0.14
Ni 0.919 0.416 0.248  0.14
Ni 0.416 0.919 0.248  0.14
Ni 0.584 0.584 0.752  0.14
Ni 0.584 0.081 0.752  0.14
Ni 0.081 0.584 0.752  0.14